Computed, not measured: crystalline NaBi2HBr at its relaxed geometry at the GGA-PBE level of DFT.

Summary:
Crystal system   tetragonal
Calculated volume   156.25 Å³/cell
D(E_F)   5.7 states/eV per cell
Magnetization   0.00 μB per formula unit
Total DFT energy (no corrections)   -14.59 eV per cell

a b c (Å): 4.4986 4.4986 7.7208
angles (deg): 90.00 90.00 90.00
Last column: nearest neighbours and their distance in Å.
Space group P4/mmm (No. 123)
Inequivalent atoms, fractional coordinates:
Na 0.0000 0.0000 0.0000 (multiplicity 1)  4 Br 3.18
Bi 0.0000 0.5000 0.5000 (multiplicity 2)  2 H 2.25
H 0.0000 0.0000 0.5000 (multiplicity 1)  4 Bi 2.25
Br 0.5000 0.5000 0.0000 (multiplicity 1)  4 Na 3.18